[1]
Density functional theory data (PBE) for crystalline Ac3Sn2Rh7 at its relaxed geometry.

Calculated values
Energy of formation, eV/f.u.: -7.1

a = 5.7886 Å, b = 5.7886 Å, c = 9.1623 Å
α = 71.59°, β = 71.59°, γ = 60.00°
Fractional coordinates of all 12 atoms:
Ac  0.0000  0.0000  0.0000
Rh  0.5807  0.5807  0.7535
Ac  0.1398  0.1398  0.5807
Rh  0.4193  0.9150  0.2465
Rh  0.9150  0.4193  0.2465
Rh  0.5000  0.5000  0.5000
Sn  0.3330  0.3330  0.0009
Sn  0.6670  0.6670  0.9991
Ac  0.8602  0.8602  0.4193
Rh  0.0850  0.5807  0.7535
Rh  0.5807  0.0850  0.7535
Rh  0.4193  0.4193  0.2465



[2]
Density functional theory data (PBE) for crystalline Ac7Sn3Rh2 at its relaxed geometry.

Calculated values
Energy of formation, eV/f.u.: -5.8

a = 5.5033 Å, b = 5.7473 Å, c = 14.1833 Å
α = 101.69°, β = 90.00°, γ = 90.00°
Fractional coordinates of all 12 atoms:
Sn  0.5000  0.5000  0.0000
Sn  0.5000  0.6903  0.3807
Ac  0.0000  0.0000  0.0000
Rh  0.0000  0.1058  0.2115
Ac  0.5000  0.9008  0.8016
Ac  0.0000  0.6083  0.2167
Ac  0.0000  0.3917  0.7833
Rh  0.0000  0.8942  0.7885
Ac  0.0000  0.2125  0.4251
Ac  0.0000  0.7875  0.5749
Sn  0.5000  0.3097  0.6193
Ac  0.5000  0.0992  0.1984



[3]
Density functional theory data (PBE) for crystalline Ac12Sn6Rh at its relaxed geometry.

Calculated values
Energy of formation, eV/f.u.: -8.3

a = 9.4108 Å, b = 9.4108 Å, c = 9.4108 Å
α = 99.37°, β = 99.37°, γ = 99.37°
Fractional coordinates of all 19 atoms:
Ac  0.9416  0.0120  0.6839
Sn  0.6437  0.3068  0.1236
Sn  0.1236  0.6437  0.3068
Ac  0.9880  0.3161  0.0584
Ac  0.5626  0.1903  0.4278
Ac  0.5722  0.4374  0.8097
Rh  0.0000  0.0000  0.0000
Ac  0.6839  0.9416  0.0120
Ac  0.3161  0.0584  0.9880
Ac  0.0120  0.6839  0.9416
Ac  0.0584  0.9880  0.3161
Sn  0.8764  0.3563  0.6932
Sn  0.3563  0.6932  0.8764
Ac  0.4278  0.5626  0.1903
Sn  0.3068  0.1236  0.6437
Sn  0.6932  0.8764  0.3563
Ac  0.1903  0.4278  0.5626
Ac  0.4374  0.8097  0.5722
Ac  0.8097  0.5722  0.4374



[4]
Density functional theory data (PBE) for crystalline AcSn2Rh at its relaxed geometry.

Calculated values
Energy relative to the lowest polymorph listed for this composition, meV per atom: 308
Energy of formation, eV/f.u.: -1.7

a = 3.5168 Å, b = 3.5168 Å, c = 7.8415 Å
α = 90.00°, β = 90.00°, γ = 90.00°
Fractional coordinates of all 4 atoms:
Sn  0.0000  0.0000  0.8097
Ac  0.5000  0.5000  0.5000
Sn  0.0000  0.0000  0.1903
Rh  0.5000  0.5000  0.0000



[5]
Density functional theory data (PBE) for crystalline AcSn3Rh at its relaxed geometry.

Calculated values
Energy relative to the lowest polymorph listed for this composition, meV per atom: 108
Energy of formation, eV/f.u.: -2.5

a = 4.8683 Å, b = 4.8683 Å, c = 5.6167 Å
α = 90.00°, β = 90.00°, γ = 90.00°
Fractional coordinates of all 5 atoms:
Sn  0.5000  0.0000  0.3214
Rh  0.0000  0.0000  0.1158
Sn  0.0000  0.5000  0.3214
Ac  0.5000  0.5000  0.8454
Sn  0.0000  0.0000  0.6596



[6]
Density functional theory data (PBE) for crystalline Ac6SnRh2 at its relaxed geometry.

Calculated values
Energy of formation, eV/f.u.: -3.3

a = 8.7196 Å, b = 9.5813 Å, c = 9.5813 Å
α = 63.96°, β = 75.65°, γ = 75.65°
Fractional coordinates of all 18 atoms:
Rh  0.3355  0.6795  0.8016
Ac  0.3709  0.3372  0.4167
Ac  0.3616  0.9195  0.2630
Rh  0.6645  0.3205  0.1984
Sn  0.7500  0.8963  0.1037
Ac  0.6291  0.6628  0.5833
Rh  0.1645  0.1984  0.3205
Ac  0.1384  0.7370  0.0805
Ac  0.8709  0.4167  0.3372
Rh  0.8355  0.8016  0.6795
Ac  0.8879  0.0071  0.3414
Sn  0.2500  0.1037  0.8963
Ac  0.3879  0.3414  0.0071
Ac  0.1291  0.5833  0.6628
Ac  0.6384  0.0805  0.7370
Ac  0.1121  0.9929  0.6586
Ac  0.6121  0.6586  0.9929
Ac  0.8616  0.2630  0.9195



[7]
Density functional theory data (PBE) for crystalline AcSn2Rh8 at its relaxed geometry.

Calculated values
Energy of formation, eV/f.u.: 2.6

a = 5.2100 Å, b = 5.2100 Å, c = 8.8827 Å
α = 90.00°, β = 90.00°, γ = 90.00°
Fractional coordinates of all 11 atoms:
Rh  0.7540  0.2460  0.7729
Rh  0.2460  0.7540  0.2271
Rh  0.2460  0.2460  0.2271
Rh  0.2460  0.2460  0.7729
Rh  0.7540  0.2460  0.2271
Rh  0.7540  0.7540  0.7729
Rh  0.2460  0.7540  0.7729
Sn  0.5000  0.0000  0.0000
Rh  0.7540  0.7540  0.2271
Sn  0.0000  0.5000  0.0000
Ac  0.5000  0.5000  0.5000



[8]
Density functional theory data (PBE) for crystalline AcSn2Rh at its relaxed geometry.

Calculated values
Energy relative to the lowest polymorph listed for this composition, meV per atom: 10
Energy of formation, eV/f.u.: -2.9

a = 4.6729 Å, b = 7.7339 Å, c = 11.7941 Å
α = 90.00°, β = 90.00°, γ = 90.00°
Fractional coordinates of all 16 atoms:
Ac  0.7500  0.1870  0.1338
Rh  0.2500  0.0051  0.3613
Rh  0.2500  0.5051  0.1387
Rh  0.7500  0.9949  0.6387
Ac  0.2500  0.8130  0.8662
Sn  0.7500  0.1453  0.4358
Sn  0.7500  0.6453  0.0642
Sn  0.2500  0.3570  0.3380
Ac  0.7500  0.6870  0.3662
Sn  0.2500  0.8547  0.5642
Rh  0.7500  0.4949  0.8613
Sn  0.7500  0.1430  0.8380
Sn  0.2500  0.3547  0.9358
Ac  0.2500  0.3130  0.6338
Sn  0.7500  0.6430  0.6620
Sn  0.2500  0.8570  0.1620



[9]
Density functional theory data (PBE) for crystalline AcSn2Rh at its relaxed geometry.

Calculated values
Energy relative to the lowest polymorph listed for this composition, meV per atom: 71
Energy of formation, eV/f.u.: -2.6

a = 4.5704 Å, b = 4.5704 Å, c = 6.3862 Å
α = 69.03°, β = 69.03°, γ = 60.00°
Fractional coordinates of all 4 atoms:
Sn  0.7147  0.7147  0.8558
Ac  0.5000  0.5000  0.5000
Rh  0.0000  0.0000  0.0000
Sn  0.2853  0.2853  0.1442



[10]
Density functional theory data (PBE) for crystalline Ac3Sn3Rh at its relaxed geometry.

Calculated values
Energy of formation, eV/f.u.: -5.0

a = 4.7770 Å, b = 6.5020 Å, c = 15.3784 Å
α = 83.97°, β = 81.06°, γ = 68.45°
Last column: magnetic moment on the atom in μB.
Fractional coordinates of all 14 atoms:
Ac  0.4788  0.6576  0.3847  0.01
Sn  0.8365  0.7930  0.5340  0.00
Ac  0.5212  0.3424  0.6153  0.01
Ac  0.7457  0.7508  0.7578  0.04
Rh  0.2470  0.8913  0.6148  0.02
Sn  0.0383  0.1624  0.7611  0.00
Sn  0.1635  0.2070  0.4660  0.00
Sn  0.1155  0.8455  0.9235  0.01
Sn  0.9617  0.8376  0.2389  0.00
Rh  0.7530  0.1087  0.3852  0.02
Ac  0.6024  0.7148  0.0805  0.08
Ac  0.2543  0.2492  0.2422  0.04
Ac  0.3976  0.2852  0.9195  0.08
Sn  0.8845  0.1545  0.0765  0.01



[11]
Density functional theory data (PBE) for crystalline Ac5Sn2Rh2 at its relaxed geometry.

Calculated values
Energy of formation, eV/f.u.: -5.2

a = 8.5105 Å, b = 8.4240 Å, c = 9.2868 Å
α = 116.97°, β = 90.00°, γ = 90.00°
Fractional coordinates of all 18 atoms:
Rh  0.1330  0.6306  0.0000
Rh  0.3670  0.1306  0.0000
Sn  0.0000  0.2086  0.4172
Rh  0.8670  0.3694  0.0000
Ac  0.6669  0.2909  0.2480
Sn  0.0000  0.7914  0.5828
Ac  0.5000  0.5000  0.0000
Ac  0.1669  0.2091  0.7520
Ac  0.3331  0.9571  0.2480
Rh  0.6330  0.8694  0.0000
Sn  0.5000  0.7086  0.4172
Sn  0.5000  0.2914  0.5828
Ac  0.0000  0.0000  0.0000
Ac  0.8331  0.5429  0.7520
Ac  0.8331  0.7909  0.2480
Ac  0.6669  0.0429  0.7520
Ac  0.3331  0.7091  0.7520
Ac  0.1669  0.4571  0.2480



[12]
Density functional theory data (PBE) for crystalline AcSnRh2 at its relaxed geometry.

Calculated values
Energy of formation, eV/f.u.: -1.6

a = 3.4538 Å, b = 3.4538 Å, c = 7.1192 Å
α = 90.00°, β = 90.00°, γ = 90.00°
Fractional coordinates of all 4 atoms:
Sn  0.5000  0.5000  0.0000
Ac  0.5000  0.5000  0.5000
Rh  0.0000  0.0000  0.7994
Rh  0.0000  0.0000  0.2006



[13]
Density functional theory data (PBE) for crystalline AcSn5Rh2 at its relaxed geometry.

Calculated values
Energy of formation, eV/f.u.: -3.4

a = 4.3343 Å, b = 7.4580 Å, c = 7.4580 Å
α = 60.90°, β = 73.11°, γ = 73.11°
Fractional coordinates of all 8 atoms:
Sn  0.0000  0.5000  0.5000
Sn  0.6526  0.5651  0.1297
Sn  0.3474  0.4349  0.8703
Sn  0.6526  0.1297  0.5651
Rh  0.2096  0.2904  0.2904
Ac  0.0000  0.0000  0.0000
Sn  0.3474  0.8703  0.4349
Rh  0.7904  0.7096  0.7096



[14]
Density functional theory data (PBE) for crystalline Ac12Sn3Rh5 at its relaxed geometry.

Calculated values
Energy of formation, eV/f.u.: -8.6

a = 15.9136 Å, b = 15.9136 Å, c = 15.9136 Å
α = 109.47°, β = 109.47°, γ = 109.47°
Fractional coordinates of all 80 atoms:
Ac  0.3231  0.7931  0.4148
Sn  0.7500  0.8750  0.6250
Rh  0.8750  0.6250  0.7500
Sn  0.6250  0.2500  0.3750
Rh  0.1250  0.7500  0.3750
Ac  0.8783  0.2931  0.4700
Ac  0.2931  0.8783  0.9700
Ac  0.7931  0.3231  0.9148
Ac  0.5917  0.6217  0.4148
Ac  0.4083  0.0300  0.3231
Ac  0.3231  0.5300  0.4083
Ac  0.8231  0.9083  0.0300
Ac  0.6769  0.4700  0.5917
Ac  0.6217  0.5917  0.9148
Rh  0.6250  0.8750  0.2500
Ac  0.3783  0.9700  0.7931
Sn  0.2500  0.6250  0.8750
Ac  0.4148  0.1217  0.5917
Ac  0.5852  0.7069  0.6769
Rh  0.0000  0.5000  0.0000
Rh  0.0000  0.0000  0.0000
Ac  0.6769  0.2069  0.5852
Ac  0.0300  0.4083  0.8231
Rh  0.3750  0.2500  0.1250
Rh  0.1250  0.3750  0.2500
Ac  0.4700  0.7931  0.8783
Rh  0.8750  0.2500  0.6250
Rh  0.2500  0.3750  0.6250
Sn  0.3750  0.6250  0.2500
Ac  0.0917  0.9148  0.1217
Rh  0.5000  0.5000  0.5000
Ac  0.5300  0.3231  0.9083
Rh  0.0000  0.0000  0.5000
Rh  0.6250  0.7500  0.8750
Sn  0.1250  0.2500  0.8750
Rh  0.5000  0.5000  0.0000
Rh  0.5000  0.0000  0.0000
Ac  0.2931  0.4148  0.8231
Ac  0.5917  0.9700  0.6769
Ac  0.1217  0.7069  0.5300
Ac  0.2069  0.6769  0.0852
Ac  0.0852  0.1769  0.2069
Sn  0.6250  0.3750  0.7500
Ac  0.9148  0.0917  0.6217
Ac  0.5852  0.8783  0.4083
Ac  0.3783  0.4083  0.0852
Ac  0.9148  0.8231  0.7931
Sn  0.3750  0.7500  0.6250
Ac  0.5300  0.2069  0.1217
Ac  0.6217  0.0300  0.2069
Ac  0.4083  0.3783  0.5852
Ac  0.7069  0.5852  0.1769
Ac  0.7931  0.4700  0.3783
Sn  0.8750  0.7500  0.1250
Rh  0.2500  0.8750  0.1250
Rh  0.7500  0.1250  0.8750
Ac  0.9700  0.3783  0.2931
Ac  0.7069  0.1217  0.0300
Ac  0.0300  0.6217  0.7069
Sn  0.7500  0.3750  0.1250
Ac  0.8783  0.5852  0.9083
Ac  0.4148  0.2931  0.3231
Rh  0.3750  0.1250  0.7500
Ac  0.9083  0.0852  0.8783
Sn  0.1250  0.8750  0.7500
Rh  0.5000  0.0000  0.5000
Ac  0.8231  0.9148  0.2931
Sn  0.2500  0.1250  0.3750
Rh  0.0000  0.5000  0.5000
Ac  0.0917  0.1769  0.4700
Ac  0.1217  0.4148  0.0917
Ac  0.1769  0.0917  0.9700
Ac  0.2069  0.5300  0.6217
Ac  0.9083  0.8231  0.5300
Sn  0.8750  0.1250  0.2500
Ac  0.1769  0.0852  0.7069
Rh  0.7500  0.6250  0.3750
Ac  0.0852  0.9083  0.3783
Ac  0.4700  0.6769  0.0917
Ac  0.9700  0.5917  0.1769



[15]
Density functional theory data (PBE) for crystalline Ac2SnRh3 at its relaxed geometry.

Calculated values
Energy relative to the lowest polymorph listed for this composition, meV per atom: 50
Energy of formation, eV/f.u.: -3.2

a = 6.2541 Å, b = 6.2541 Å, c = 8.8910 Å
α = 109.60°, β = 109.60°, γ = 92.64°
Fractional coordinates of all 12 atoms:
Sn  0.3334  0.3334  0.6668
Rh  0.1654  0.1654  0.3308
Rh  0.1675  0.6649  0.8324
Sn  0.6666  0.6666  0.3332
Ac  0.7525  0.7525  0.0000
Rh  0.8346  0.8346  0.6692
Ac  0.2500  0.7500  0.5000
Ac  0.7500  0.2500  0.5000
Rh  0.6649  0.1675  0.8324
Rh  0.3351  0.8325  0.1676
Rh  0.8325  0.3351  0.1676
Ac  0.2475  0.2475  0.0000



[16]
Density functional theory data (PBE) for crystalline AcSn2Rh2 at its relaxed geometry.

Calculated values
Energy relative to the lowest polymorph listed for this composition, meV per atom: 0
Energy of formation, eV/f.u.: -3.7

a = 4.6219 Å, b = 4.6219 Å, c = 10.7695 Å
α = 90.00°, β = 90.00°, γ = 90.00°
Fractional coordinates of all 10 atoms:
Rh  0.5000  0.0000  0.6299
Ac  0.0000  0.5000  0.7528
Sn  0.0000  0.5000  0.1250
Ac  0.5000  0.0000  0.2472
Rh  0.5000  0.5000  0.0000
Sn  0.5000  0.0000  0.8750
Sn  0.0000  0.0000  0.5000
Rh  0.0000  0.0000  0.0000
Rh  0.0000  0.5000  0.3701
Sn  0.5000  0.5000  0.5000



[17]
Density functional theory data (PBE) for crystalline Ac3SnRh at its relaxed geometry.

Calculated values
Energy relative to the lowest polymorph listed for this composition, meV per atom: 133
Energy of formation, eV/f.u.: -2.5

a = 5.7127 Å, b = 5.7127 Å, c = 5.7127 Å
α = 90.00°, β = 90.00°, γ = 90.00°
Fractional coordinates of all 5 atoms:
Ac  0.0000  0.0000  0.5000
Ac  0.0000  0.5000  0.0000
Rh  0.0000  0.0000  0.0000
Sn  0.5000  0.5000  0.5000
Ac  0.5000  0.0000  0.0000



[18]
Density functional theory data (PBE) for crystalline Ac2Sn2Rh3 at its relaxed geometry.

Calculated values
Energy relative to the lowest polymorph listed for this composition, meV per atom: 0
Energy of formation, eV/f.u.: -4.7

a = 4.4858 Å, b = 5.7259 Å, c = 7.2387 Å
α = 86.19°, β = 108.05°, γ = 90.00°
Fractional coordinates of all 7 atoms:
Rh  0.0000  0.0000  0.0000
Rh  0.7221  0.3709  0.4442
Ac  0.6364  0.8722  0.2728
Ac  0.3636  0.1278  0.7272
Sn  0.1102  0.3691  0.2204
Rh  0.2779  0.6291  0.5558
Sn  0.8898  0.6309  0.7796



[19]
Density functional theory data (PBE) for crystalline AcSn2Rh3 at its relaxed geometry.

Calculated values
Energy relative to the lowest polymorph listed for this composition, meV per atom: 139
Energy of formation, eV/f.u.: -3.2

a = 6.0689 Å, b = 6.6071 Å, c = 6.6071 Å
α = 105.04°, β = 90.00°, γ = 90.00°
Fractional coordinates of all 12 atoms:
Rh  0.2500  0.5531  0.8475
Rh  0.2500  0.9740  0.9740
Ac  0.7500  0.6718  0.6718
Rh  0.7500  0.4469  0.1525
Ac  0.2500  0.3282  0.3282
Rh  0.7500  0.0260  0.0260
Sn  0.5000  0.2140  0.7860
Rh  0.2500  0.8475  0.5531
Rh  0.7500  0.1525  0.4469
Sn  0.0000  0.2140  0.7860
Sn  0.5000  0.7860  0.2140
Sn  0.0000  0.7860  0.2140